Entry 1:
VASP calculation (PBE) on a relaxed structure of HfP2S2.

Summary:
Polymorph energy (0 for the lowest one) = 213 meV/atom
E_tot = -27.08 eV/f.u.
Symmetry = P4/mmm
E_form (uncorrected) = 0.389 eV per atom
Size of the total moment = 0.000 μB per cell

Cell: 4.4706 4.4706 4.3816 Å, 90.00 90.00 90.00°
Fractional positions:
Hf: 0.0000 0.0000 0.0000
P: 0.0000 0.5000 0.5000
P: 0.5000 0.0000 0.5000
S: 0.5000 0.5000 0.0000
S: 0.5000 0.5000 0.5000

---

Entry 2:
VASP calculation (PBE) on a relaxed structure of Rb5Ag2Hg2.

Summary:
ΔH_f (0 K) = -0.043 eV/atom
E_tot = -11.53 eV/f.u.
Symmetry = Ima2
Size of the total moment = 0.000 μB per cell

Cell: 12.2278 12.2278 12.2278 Å, 65.57 132.23 137.86°
Fractional positions:
Rb: 0.1326 0.4865 0.9369
Rb: 0.1326 0.6957 0.1461
Rb: 0.1742 0.0648 0.2390
Rb: 0.1742 0.4352 0.6094
Rb: 0.5354 0.3962 0.6392
Rb: 0.5495 0.1957 0.0631
Rb: 0.5495 0.9865 0.8539
Rb: 0.7570 0.8962 0.3608
Rb: 0.8258 0.5648 0.3906
Rb: 0.8258 0.9352 0.7610
Ag: 0.6248 0.0796 0.4097
Ag: 0.6248 0.7151 0.0452
Ag: 0.6699 0.2151 0.5903
Ag: 0.6699 0.5796 0.9548
Hg: 0.0553 0.3090 0.2463
Hg: 0.0627 0.8090 0.7537
Hg: 0.3552 0.3552 0.0000
Hg: 0.3552 0.8552 0.5000

---

Entry 3:
VASP calculation (PBE) on a relaxed structure of PuCu3Cl6.

Summary:
E_tot = -47.25 eV/f.u.
Symmetry = P-1
E_form (uncorrected) = -0.955 eV per atom
Size of the total moment = 5.000 μB per cell

Cell: 7.5307 7.5387 7.8085 Å, 103.00 113.60 110.54°
Fractional positions:
Pu: 0.0000 0.0000 0.0000
Cu: 0.0000 0.5000 0.0000
Cu: 0.0000 0.5000 0.5000
Cu: 0.5000 0.0000 0.0000
Cl: 0.0042 0.7446 0.2014
Cl: 0.0578 0.2793 0.3371
Cl: 0.4567 0.2012 0.1979
Cl: 0.5433 0.7988 0.8021
Cl: 0.9422 0.7207 0.6629
Cl: 0.9958 0.2554 0.7986